Entry 1:
SrInPb | GGA-PBEsol | relaxed

a = 5.2548 Å, b = 5.2548 Å, c = 5.2548 Å
α = 60.00°, β = 60.00°, γ = 60.00°
Last column: nearest neighbours and their distance in Å.
Positions (direct):
1 In 0.5000 0.5000 0.5000  4 Pb 3.22
2 Pb 0.2500 0.2500 0.2500  4 Sr 3.22, 4 In 3.22
3 Sr 0.0000 0.0000 0.0000  4 Pb 3.22

As for the space group: F-43m (216). For the volume, the calculation gives 102.6 Å³/cell. The total energy is -3.21 eV per atom. The formation energy is -0.269 eV per atom. As for the crystal system: cubic.



Entry 2:
SrIn2Pb | GGA-PBEsol | relaxed

a = 4.6653 Å, b = 5.3169 Å, c = 5.6989 Å
α = 108.87°, β = 90.00°, γ = 116.02°
Last column: nearest neighbours and their distance in Å.
Positions (direct):
1 In 0.9872 0.9745 0.9310  3 In 3.02-3.10, 2 Pb 3.25, 1 Sr 3.38
2 In 0.2579 0.5158 0.7766  3 In 3.02-3.10, 3 Pb 3.11-3.26
3 Pb 0.5079 0.0158 0.5479  5 In 3.11-3.26, 3 Sr 3.33-3.40
4 Sr 0.7470 0.4940 0.2445  3 Pb 3.33-3.40, 5 In 3.38-3.57

As for the space group: Cm (8). For the volume, the calculation gives 118.5 Å³/cell. The total energy is -3.24 eV per atom. The formation energy is -0.288 eV per atom. As for the crystal system: monoclinic.



Entry 3:
SrIn2Pb | GGA-PBEsol | relaxed

a = 4.7408 Å, b = 4.7408 Å, c = 4.9549 Å
α = 90.00°, β = 90.00°, γ = 90.00°
Last column: nearest neighbours and their distance in Å.
Positions (direct):
1 Pb 0.5000 0.5000 0.5000  4 Sr 3.35, 8 In 3.43
2 Sr 0.0000 0.0000 0.5000  4 Pb 3.35, 8 In 3.43
3 In 0.0000 0.5000 0.0000  4 In 3.35, 4 Pb 3.43, 4 Sr 3.43
4 In 0.5000 0.0000 0.0000  4 In 3.35, 4 Pb 3.43, 4 Sr 3.43

As for the space group: P4/mmm (123). For the volume, the calculation gives 111.4 Å³/cell. The total energy is -3.30 eV per atom. The formation energy is -0.353 eV per atom. As for the crystal system: tetragonal.



Entry 4:
SrIn2Pb | GGA-PBEsol | relaxed

a = 4.7324 Å, b = 4.7724 Å, c = 6.0535 Å
α = 113.22°, β = 113.01°, γ = 90.00°
Last column: nearest neighbours and their distance in Å.
Positions (direct):
1 Pb 0.5012 0.5012 0.0025  8 In 3.36-3.56, 4 Sr 3.43-3.50
2 Sr 0.2571 0.7571 0.5142  8 In 3.37-3.49, 4 Pb 3.43-3.50
3 In 0.0049 0.0049 0.0098  4 In 3.32-3.60, 4 Pb 3.36, 4 Sr 3.44-3.49
4 In 0.7368 0.2368 0.4735  4 In 3.32-3.60, 4 Pb 3.36-3.56, 4 Sr 3.37

As for the space group: Imm2 (44). For the volume, the calculation gives 113.7 Å³/cell. The total energy is -3.25 eV per atom. The formation energy is -0.304 eV per atom. As for the crystal system: orthorhombic.



Entry 5:
SrIn2Pb | GGA-PBEsol | relaxed

a = 4.7371 Å, b = 4.7371 Å, c = 6.0388 Å
α = 113.09°, β = 113.09°, γ = 90.00°
Last column: nearest neighbours and their distance in Å.
Positions (direct):
1 Pb 0.0000 0.0000 0.0000  4 Sr 3.35, 8 In 3.45
2 Sr 0.5000 0.5000 0.0000  4 Pb 3.35, 8 In 3.45
3 In 0.7500 0.2500 0.5000  4 In 3.35, 4 Pb 3.45, 4 Sr 3.45
4 In 0.2500 0.7500 0.5000  4 In 3.35, 4 Sr 3.45, 4 Pb 3.45

As for the space group: I4/mmm (139). For the volume, the calculation gives 112.8 Å³/cell. The total energy is -3.27 eV per atom. The formation energy is -0.319 eV per atom. As for the crystal system: tetragonal.



Entry 6:
Sr2InPb | GGA-PBEsol | relaxed

a = 3.6534 Å, b = 4.7433 Å, c = 7.2886 Å
α = 90.00°, β = 90.00°, γ = 90.00°
Last column: nearest neighbours and their distance in Å.
Positions (direct):
1 Pb 0.5000 0.5000 0.5000  8 Sr 3.50, 2 In 3.64, 2 Pb 3.65
2 Sr 0.0000 0.0000 0.7482  4 Pb 3.50, 4 In 3.51, 4 Sr 3.62-3.67
3 Sr 0.0000 0.0000 0.2518  4 Pb 3.50, 4 In 3.51, 4 Sr 3.62-3.67
4 In 0.5000 0.5000 0.0000  8 Sr 3.51, 2 Pb 3.64, 2 In 3.65

The distance to the lowest polymorph of the same formula is 0.017 eV/atom. As for the space group: Pmmm (47). For the volume, the calculation gives 126.3 Å³/cell. The total energy is -3.15 eV per atom. The formation energy is -0.487 eV per atom. As for the crystal system: orthorhombic.



Entry 7:
Sr2InPb | GGA-PBEsol | relaxed

a = 5.6814 Å, b = 5.6814 Å, c = 5.6814 Å
α = 60.00°, β = 60.00°, γ = 60.00°
Last column: nearest neighbours and their distance in Å.
Positions (direct):
1 Pb 0.0000 0.0000 0.0000  8 Sr 3.48
2 Sr 0.7500 0.7500 0.7500  4 In 3.48, 4 Pb 3.48
3 Sr 0.2500 0.2500 0.2500  4 In 3.48, 4 Pb 3.48
4 In 0.5000 0.5000 0.5000  8 Sr 3.48

The distance to the lowest polymorph of the same formula is 0.000 eV/atom. As for the space group: Fm-3m (225). For the volume, the calculation gives 129.7 Å³/cell. The total energy is -3.17 eV per atom. The formation energy is -0.505 eV per atom. As for the crystal system: cubic.



Entry 8:
TaInPb | GGA-PBEsol | relaxed

a = 3.2640 Å, b = 3.9728 Å, c = 5.5744 Å
α = 110.88°, β = 107.02°, γ = 90.00°
Last column: nearest neighbours and their distance in Å.
Positions (direct):
1 In 0.0116 0.0116 0.0232  4 Ta 2.96, 5 Pb 3.13-3.15, 2 In 3.26
2 Pb 0.3278 0.3278 0.6555  5 Ta 3.06-3.29, 5 In 3.13-3.15, 2 Pb 3.26
3 Ta 0.6606 0.6606 0.3212  4 In 2.96, 5 Pb 3.06-3.29, 2 Ta 3.26

The distance to the lowest polymorph of the same formula is 0.000 eV/atom. As for the space group: Imm2 (44). For the volume, the calculation gives 64.1 Å³/cell. The total energy is -6.06 eV per atom. The formation energy is 0.447 eV per atom. As for the crystal system: orthorhombic.



Entry 9:
Ta2InPb | GGA-PBEsol | relaxed

a = 3.0816 Å, b = 3.0816 Å, c = 9.8926 Å
α = 81.04°, β = 81.04°, γ = 60.00°
Last column: nearest neighbours and their distance in Å.
Positions (direct):
1 In 0.5000 0.5000 0.5000  6 Ta 2.99, 6 In 3.08
2 Pb 0.0000 0.0000 0.0000  6 Ta 3.04, 6 Pb 3.08
3 Ta 0.2490 0.2490 0.2530  3 In 2.99, 3 Pb 3.04, 6 Ta 3.08
4 Ta 0.7510 0.7510 0.7470  3 In 2.99, 3 Pb 3.04, 6 Ta 3.08

As for the space group: R-3m (166). For the volume, the calculation gives 80.0 Å³/cell. The total energy is -7.58 eV per atom. The formation energy is 0.440 eV per atom. As for the crystal system: trigonal.



Entry 10:
Ta2InPb | GGA-PBEsol | relaxed

a = 3.4687 Å, b = 4.9260 Å, c = 5.5534 Å
α = 116.33°, β = 108.20°, γ = 90.00°
Last column: nearest neighbours and their distance in Å.
Positions (direct):
1 In 0.5000 0.0000 0.0000  4 Ta 2.91, 4 Pb 3.01
2 Pb 0.0000 0.5000 0.0000  4 Ta 2.90, 4 In 3.01
3 Ta 0.7497 0.7497 0.4995  2 Pb 2.90, 2 In 2.91, 4 Ta 3.01
4 Ta 0.2503 0.2503 0.5005  2 Pb 2.90, 2 In 2.91, 4 Ta 3.01

As for the space group: Immm (71). For the volume, the calculation gives 79.7 Å³/cell. The total energy is -7.60 eV per atom. The formation energy is 0.418 eV per atom. As for the crystal system: orthorhombic.



Entry 11:
TaInPb | GGA-PBEsol | relaxed

a = 2.9421 Å, b = 5.0758 Å, c = 5.0758 Å
α = 120.00°, β = 90.00°, γ = 90.00°
Last column: nearest neighbours and their distance in Å.
Positions (direct):
1 In 0.9747 0.0000 0.0000  2 In 2.94, 3 Pb 3.07, 3 Ta 3.15
2 Pb 0.6593 0.6667 0.3333  2 Pb 2.94, 3 Ta 3.06, 3 In 3.07
3 Ta 0.3659 0.3333 0.6667  2 Ta 2.94, 3 Pb 3.06, 3 In 3.15

The distance to the lowest polymorph of the same formula is 0.165 eV/atom. As for the space group: P3m1 (156). For the volume, the calculation gives 65.6 Å³/cell. The total energy is -5.90 eV per atom. The formation energy is 0.613 eV per atom. As for the crystal system: trigonal.



Entry 12:
InTc2Pb | GGA-PBEsol | relaxed

a = 4.0315 Å, b = 4.0315 Å, c = 5.1873 Å
α = 112.87°, β = 112.87°, γ = 90.00°
Last column: nearest neighbours and their distance in Å.
Positions (direct):
1 In 0.5000 0.5000 0.0000  8 Tc 2.85-2.96, 4 Pb 2.96
2 Pb 0.2500 0.7500 0.5000  8 Tc 2.85-2.96, 4 In 2.96
3 Tc 0.0000 0.0000 0.0000  4 In 2.85, 4 Pb 2.96, 4 Tc 2.96
4 Tc 0.7500 0.2500 0.5000  4 Pb 2.85, 4 In 2.96, 4 Tc 2.96

The distance to the lowest polymorph of the same formula is 0.512 eV/atom. As for the space group: I-4m2 (119). For the volume, the calculation gives 70.4 Å³/cell. The total energy is -6.67 eV per atom. The formation energy is 0.709 eV per atom. As for the crystal system: tetragonal.



Entry 13:
InTc2Pb | GGA-PBEsol | relaxed

a = 3.0210 Å, b = 3.0210 Å, c = 8.4910 Å
α = 90.00°, β = 90.00°, γ = 90.00°
Last column: nearest neighbours and their distance in Å.
Positions (direct):
1 In 0.0000 0.0000 0.4439  4 Tc 2.90, 4 In 3.02
2 Pb 0.5000 0.5000 0.7929  4 Pb 3.02, 4 Tc 3.05
3 Tc 0.0000 0.0000 0.0500  4 Tc 2.55
4 Tc 0.5000 0.5000 0.2131  4 Tc 2.55

The distance to the lowest polymorph of the same formula is 0.000 eV/atom. As for the space group: P4mm (99). For the volume, the calculation gives 77.5 Å³/cell. The total energy is -7.18 eV per atom. The formation energy is 0.197 eV per atom. As for the crystal system: tetragonal.



Entry 14:
In3TcPb | GGA-PBEsol | relaxed

a = 5.5473 Å, b = 5.5473 Å, c = 5.5473 Å
α = 90.00°, β = 90.00°, γ = 90.00°
Last column: nearest neighbours and their distance in Å.
Positions (direct):
1 Pb 0.0000 0.0000 0.0000  6 In 2.77
2 Tc 0.5000 0.5000 0.5000  12 In 3.92
3 In 0.0000 0.5000 0.0000  2 Pb 2.77
4 In 0.0000 0.0000 0.5000  2 Pb 2.77
5 In 0.5000 0.0000 0.0000  2 Pb 2.77

As for the space group: Pm-3m (221). For the volume, the calculation gives 170.7 Å³/cell. The total energy is -3.24 eV per atom. The formation energy is 1.603 eV per atom. As for the crystal system: cubic.



Entry 15:
InTe2Pb | GGA-PBEsol | relaxed

a = 3.9103 Å, b = 5.2358 Å, c = 6.4476 Å
α = 113.96°, β = 107.65°, γ = 90.00°
Last column: nearest neighbours and their distance in Å.
Positions (direct):
1 In 0.4909 0.4909 0.9817  6 Te 3.20-3.27, 2 Pb 3.48
2 Pb 0.2494 0.7494 0.4988  6 Te 3.27-3.37, 2 In 3.48
3 Te 0.9967 0.9967 0.9934  4 In 3.27, 2 Pb 3.37, 2 Te 3.55
4 Te 0.7630 0.2630 0.5260  2 In 3.20, 4 Pb 3.27, 2 Te 3.55

Its energy relative to the elements, uncorrected is -9 kJ per mole of atoms. As for the space group: Imm2 (44). For the volume, the calculation gives 113.8 Å³/cell. The total energy is -3.60 eV per atom. As for the crystal system: orthorhombic.